4
Lattice="3.390 0.000 0.000 0.000 3.390 0.000 0.000 0.000 6.755" Properties=species:S:1:pos:R:3 comment="SrCrCu2 | Alexandria | PBE | relaxed" total_magnetization_mub_per_fu=3.93 dos_ef_per_ev_atom=0.7188 delta_e_f_ev_per_atom=0.35 final_energy_ev_per_atom=-4.526 pbc="T T T"
Sr 0.000 0.000 0.000
Cr 0.000 0.000 3.378
Cu 1.695 1.695 2.153
Cu 1.695 1.695 4.602